[1]
The following is a DFT calculation (PBE) of a relaxed structure of U2N3.

Properties
SG: No. 167
E_form (uncorrected): -1265.8 meV/atom
total magnetic moment: 3.01 μB per formula unit

```
U2N3
1.0
2.9774 1.7190 4.7668
-2.9774 1.7190 4.7668
0.0000 -3.4380 4.7668
U N
4 6
Cartesian
0.0000 0.0000 1.9583 U
0.0000 0.0000 5.1920 U
0.0000 0.0000 9.1085 U
0.0000 0.0000 12.3423 U
-2.1322 -0.2550 5.9586 N
-0.8452 -1.9740 8.3420 N
1.2869 -1.7190 5.9586 N
-1.2869 1.7190 8.3420 N
0.8452 1.9740 5.9586 N
2.1322 0.2550 8.3420 N
```

[2]
The following is a DFT calculation (PBE) of a relaxed structure of UN.

Properties
SG: No. 221
E_form (uncorrected): -518.6 meV/atom
total magnetic moment: 2.41 μB per formula unit

```
UN
1.0
3.0031 0.0000 0.0000
0.0000 3.0031 0.0000
0.0000 0.0000 3.0031
U N
1 1
Cartesian
0.0000 0.0000 0.0000 U
1.5015 1.5015 1.5015 N
```

[3]
The following is a DFT calculation (PBE) of a relaxed structure of U2N3.

Properties
SG: No. 206
E_form (uncorrected): -1392.5 meV/atom
total magnetic moment: 3.01 μB per formula unit

```
U2N3
1.0
-5.3312 5.3312 5.3312
5.3312 -5.3312 5.3312
5.3312 5.3312 -5.3312
U N
16 24
Cartesian
0.0000 0.0000 0.0000 U
5.3312 0.0000 0.0000 U
5.3312 -2.6656 2.8955 U
7.9968 2.4358 0.0000 U
2.8955 5.3312 -2.6656 U
2.8955 0.0000 2.6656 U
2.6656 2.8955 0.0000 U
5.3312 2.6656 2.4358 U
0.0000 5.3312 0.0000 U
0.0000 0.0000 5.3312 U
0.0000 2.6656 2.8955 U
2.6656 2.4358 5.3312 U
2.4358 5.3312 2.6656 U
2.4358 0.0000 7.9968 U
-2.6656 2.8955 5.3312 U
0.0000 7.9968 2.4358 U
6.4402 1.4160 -1.3849 N
1.4160 1.3849 -1.1090 N
1.3849 -1.1090 1.4160 N
3.9153 1.3849 1.1090 N
4.2223 3.9153 -1.3849 N
6.7161 1.1090 1.4160 N
-1.1090 1.4160 1.3849 N
6.7161 -1.1090 3.9153 N
3.9153 -1.3849 4.2223 N
1.3849 1.1090 3.9153 N
1.4160 -1.3849 6.4402 N
1.1090 3.9153 1.3849 N
4.2223 1.4160 3.9463 N
3.9153 6.7161 -1.1090 N
3.9463 4.2223 1.4160 N
1.4160 6.7161 1.1090 N
-1.3849 6.4402 1.4160 N
6.4402 3.9153 3.9463 N
-1.3849 4.2223 3.9153 N
1.1090 1.4160 6.7161 N
1.4160 3.9463 4.2223 N
3.9463 6.4402 3.9153 N
3.9153 3.9463 6.4402 N
-1.1090 3.9153 6.7161 N
```

[4]
The following is a DFT calculation (PBE) of a relaxed structure of U2N3.

Properties
SG: No. 164
E_form (uncorrected): -1384.5 meV/atom
total magnetic moment: 3.03 μB per formula unit

```
U2N3
1.0
3.6924 0.0000 0.0000
-1.8462 3.1977 0.0000
0.0000 0.0000 5.7685
U N
2 3
Cartesian
0.0000 2.1318 1.3972 U
1.8462 1.0659 4.3713 U
0.0000 0.0000 0.0000 N
0.0000 2.1318 3.7065 N
1.8462 1.0659 2.0620 N
```

[5]
The following is a DFT calculation (PBE) of a relaxed structure of U3VN7.

Properties
SG: No. 20
E_form (uncorrected): -1139.7 meV/atom
total magnetic moment: 2.02 μB per formula unit

```
U3VN7
1.0
3.7599 -5.1625 0.0000
3.7599 5.1625 0.0000
0.0000 0.0000 7.2103
U V N
6 2 14
Cartesian
0.0673 0.0000 0.0000 U
2.0247 2.3983 1.8154 U
5.4951 2.3983 1.7897 U
2.0247 -2.3983 5.3949 U
5.4951 -2.3983 5.4205 U
7.4525 0.0000 3.6051 U
3.4521 0.0000 3.6051 V
4.0677 0.0000 0.0000 V
3.7599 3.8275 5.4077 N
1.9877 1.3539 7.0891 N
3.7599 3.7251 1.8026 N
2.1349 1.2641 3.8451 N
1.9877 -1.3539 0.1211 N
2.1349 -1.2641 3.3651 N
3.7599 0.7643 1.8026 N
3.7599 -0.7643 5.4077 N
5.3850 1.2641 6.9703 N
5.5321 1.3539 3.7263 N
5.3850 -1.2641 0.2400 N
3.7599 -3.7250 5.4077 N
5.5321 -1.3539 3.4840 N
3.7599 -3.8275 1.8026 N
```

[6]
The following is a DFT calculation (PBE) of a relaxed structure of UWN2.

Properties
SG: No. 166
E_form (uncorrected): -252.5 meV/atom
total magnetic moment: 1.71 μB per formula unit

```
UWN2
1.0
3.1263 0.0000 0.0000
-1.5631 2.7074 0.0000
0.0000 0.0000 19.4914
U W N
3 3 6
Cartesian
0.0000 0.0000 0.0000 U
0.0000 1.8050 12.9943 U
1.5631 0.9025 6.4971 U
0.0000 0.0000 9.7457 W
0.0000 1.8050 3.2486 W
1.5631 0.9025 16.2428 W
0.0000 0.0000 2.1463 N
0.0000 0.0000 17.3451 N
0.0000 1.8050 10.8480 N
0.0000 1.8050 15.1406 N
1.5631 0.9025 4.3508 N
1.5631 0.9025 8.6435 N
```

[7]
The following is a DFT calculation (PBE) of a relaxed structure of U3W5N12.

Properties
SG: No. 230
E_form (uncorrected): -670.2 meV/atom
total magnetic moment: 4.18 μB per formula unit

```
U3W5N12
1.0
-6.3537 6.3537 6.3537
6.3537 -6.3537 6.3537
6.3537 6.3537 -6.3537
U W N
12 20 48
Cartesian
3.1769 1.5884 0.0000 U
6.3537 3.1769 -1.5884 U
1.5884 0.0000 3.1769 U
7.9422 0.0000 3.1769 U
0.0000 3.1769 1.5884 U
3.1769 -1.5884 6.3537 U
3.1769 7.9422 0.0000 U
6.3537 3.1769 4.7653 U
-1.5884 6.3537 3.1769 U
4.7653 6.3537 3.1769 U
0.0000 3.1769 7.9422 U
3.1769 4.7653 6.3537 U
0.0000 0.0000 0.0000 W
3.1769 3.1769 -3.1769 W
3.1769 -3.1769 3.1769 W
6.3537 0.0000 0.0000 W
9.5306 1.5884 0.0000 W
6.3537 -3.1769 4.7653 W
4.7653 6.3537 -3.1769 W
4.7653 0.0000 3.1769 W
3.1769 4.7653 0.0000 W
6.3537 3.1769 1.5884 W
-3.1769 3.1769 3.1769 W
0.0000 6.3537 0.0000 W
0.0000 0.0000 6.3537 W
3.1769 3.1769 3.1769 W
0.0000 3.1769 4.7653 W
3.1769 1.5884 6.3537 W
1.5884 6.3537 3.1769 W
1.5884 0.0000 9.5306 W
0.0000 9.5306 1.5884 W
-3.1769 4.7653 6.3537 W
1.9184 -0.3639 0.7178 N
7.6122 3.8947 -3.5407 N
8.2722 0.3639 0.7178 N
7.6122 -2.4591 3.5407 N
5.9899 -0.7178 1.9184 N
9.8945 -1.2584 2.4591 N
0.7178 1.9184 -0.3639 N
8.8128 2.8130 -1.2584 N
3.8947 3.5407 -1.2584 N
5.6359 1.9184 0.3639 N
-0.3639 0.7178 1.9184 N
3.5407 -1.2584 3.8947 N
5.9899 5.6359 -1.9184 N
3.5407 1.2584 2.4591 N
3.8947 -3.5407 7.6122 N
5.6359 -1.9184 5.9899 N
2.4591 3.5407 1.2584 N
7.0716 4.4353 0.3639 N
3.5407 7.6122 -2.4591 N
5.9899 0.7178 4.4353 N
1.9184 5.9899 -0.7178 N
7.6122 2.4591 2.8130 N
1.2584 2.4591 3.5407 N
1.9184 0.3639 5.6359 N
4.4353 5.9899 0.7178 N
5.0953 3.8947 2.8130 N
-1.2584 3.8947 3.5407 N
4.4353 0.3639 7.0716 N
0.3639 5.6359 1.9184 N
2.8130 -1.2584 8.8128 N
-0.7178 1.9184 5.9899 N
3.8947 2.8130 5.0953 N
0.7178 8.2722 0.3639 N
2.4591 9.8945 -1.2584 N
2.8130 5.0953 3.8947 N
0.3639 0.7178 8.2722 N
2.8130 7.6122 2.4591 N
6.7176 5.6359 4.4353 N
0.7178 4.4353 5.9899 N
2.4591 2.8130 7.6122 N
-2.4591 3.5407 7.6122 N
5.6359 4.4353 6.7176 N
-3.5407 7.6122 3.8947 N
0.3639 7.0716 4.4353 N
-1.2584 8.8128 2.8130 N
-1.9184 5.9899 5.6359 N
-1.2584 2.4591 9.8945 N
4.4353 6.7176 5.6359 N
```

[8]
The following is a DFT calculation (PBE) of a relaxed structure of UWN2.

Properties
SG: No. 62
E_form (uncorrected): -938.3 meV/atom
total magnetic moment: 1.67 μB per formula unit

```
UWN2
1.0
5.6200 0.0000 0.0000
0.0000 3.1734 0.0000
0.0000 0.0000 10.9889
U W N
4 4 8
Cartesian
0.4137 0.7933 1.5932 U
2.3963 2.3800 7.0876 U
3.2237 0.7933 3.9013 U
5.2063 2.3800 9.3957 U
0.3781 2.3800 4.3812 W
2.4319 0.7933 9.8756 W
3.1881 2.3800 1.1133 W
5.2419 0.7933 6.6077 W
0.9597 0.7933 8.2804 N
1.3680 2.3800 10.9415 N
1.4420 0.7933 5.4471 N
1.8503 2.3800 2.7860 N
3.7697 0.7933 8.2029 N
4.1780 2.3800 5.5418 N
4.2519 0.7933 0.0474 N
4.6603 2.3800 2.7085 N
```

[9]
The following is a DFT calculation (PBE) of a relaxed structure of U6WN12.

Properties
SG: No. 148
E_form (uncorrected): -1245.5 meV/atom
total magnetic moment: 4.19 μB per formula unit

```
U6WN12
1.0
4.8784 2.8165 3.0749
-4.8784 2.8165 3.0749
0.0000 -5.6331 3.0749
U W N
6 1 12
Cartesian
-3.3703 -1.0817 4.6736 U
-0.7484 -3.4596 4.5510 U
-2.6219 2.3779 4.5510 U
2.6219 -2.3779 4.6736 U
0.7484 3.4596 4.6736 U
3.3703 1.0817 4.5510 U
0.0000 0.0000 4.6123 W
-4.0893 0.8928 3.9781 N
-2.8178 -3.0950 5.2465 N
-1.2054 -1.3842 3.6279 N
1.2714 -3.9878 3.9781 N
-0.5960 1.7360 3.6279 N
-1.8014 0.3518 5.5968 N
1.8014 -0.3518 3.6279 N
0.5960 -1.7360 5.5968 N
-1.2714 3.9878 5.2465 N
1.2054 1.3842 5.5968 N
2.8178 3.0950 3.9781 N
4.0893 -0.8928 5.2465 N
```

[10]
The following is a DFT calculation (PBE) of a relaxed structure of UWN.

Properties
SG: No. 160
E_form (uncorrected): 225.0 meV/atom
total magnetic moment: 0.76 μB per formula unit

```
UWN
1.0
3.4709 0.0000 0.0000
-1.7354 3.0059 0.0000
0.0000 0.0000 15.0731
U W N
3 3 3
Cartesian
0.0000 0.0000 0.0000 U
0.0000 2.0039 10.0488 U
1.7354 1.0020 5.0244 U
0.0000 0.0000 7.9461 W
0.0000 2.0039 2.9217 W
1.7354 1.0020 12.9705 W
0.0000 0.0000 5.8993 N
0.0000 2.0039 0.8750 N
1.7354 1.0020 10.9237 N
```

[11]
The following is a DFT calculation (PBE) of a relaxed structure of U3WN7.

Properties
SG: No. 20
E_form (uncorrected): -1086.4 meV/atom
total magnetic moment: 1.86 μB per formula unit

```
U3WN7
1.0
3.6706 -5.1898 0.0000
3.6706 5.1898 0.0000
0.0000 0.0000 7.4104
U W N
6 2 14
Cartesian
7.3391 0.0000 0.0000 U
0.0021 0.0000 3.7052 U
1.9521 2.4378 5.5592 U
5.3891 2.4378 5.5565 U
1.9521 -2.4378 1.8513 U
5.3891 -2.4378 1.8540 U
3.6673 0.0000 0.0000 W
3.6738 0.0000 3.7052 W
3.6706 3.8730 1.8526 N
3.6706 3.7376 5.5578 N
2.0880 1.3140 3.4749 N
2.0925 1.3135 0.2350 N
2.0880 -1.3140 3.9355 N
2.0925 -1.3135 7.1754 N
3.6706 0.7740 5.5578 N
3.6706 -0.7740 1.8526 N
5.2487 1.3135 3.4702 N
5.2532 1.3140 0.2303 N
5.2487 -1.3135 3.9402 N
5.2532 -1.3140 7.1801 N
3.6706 -3.7376 1.8526 N
3.6706 -3.8730 5.5578 N
```

[12]
The following is a DFT calculation (PBE) of a relaxed structure of Y2UN3.

Properties
SG: No. 164
E_form (uncorrected): -1555.5 meV/atom
total magnetic moment: 1.75 μB per formula unit

```
Y2UN3
1.0
3.4585 0.0000 0.0000
-1.7293 2.9952 0.0000
0.0000 0.0000 8.5501
Y U N
2 1 3
Cartesian
0.0000 1.9968 1.3826 Y
1.7293 0.9984 7.1675 Y
0.0000 0.0000 4.2750 U
0.0000 0.0000 0.0000 N
0.0000 1.9968 5.6143 N
1.7293 0.9984 2.9358 N
```

[13]
The following is a DFT calculation (PBE) of a relaxed structure of YU5N6.

Properties
SG: No. 12
E_form (uncorrected): -1359.7 meV/atom
total magnetic moment: 6.32 μB per formula unit

```
YU5N6
1.0
2.9810 -5.1584 0.0000
2.9810 5.1584 0.0000
-1.9935 0.0000 5.6321
Y U N
1 5 6
Cartesian
0.0000 0.0000 0.0000 Y
1.9842 3.4567 2.8161 U
2.9810 1.7181 0.0000 U
1.9842 0.0000 2.8161 U
2.9810 -1.7181 0.0000 U
1.9842 -3.4567 2.8161 U
1.0050 1.7423 1.4112 N
0.0166 0.0000 4.2271 N
1.0050 -1.7423 1.4112 N
2.9634 1.7423 4.2209 N
3.9518 0.0000 1.4050 N
2.9634 -1.7423 4.2209 N
```

[14]
The following is a DFT calculation (PBE) of a relaxed structure of YUN2.

Properties
SG: No. 194
E_form (uncorrected): -1465.5 meV/atom
total magnetic moment: 1.24 μB per formula unit

```
YUN2
1.0
3.4517 0.0000 0.0000
-1.7258 2.9892 0.0000
0.0000 0.0000 11.4032
Y U N
2 2 4
Cartesian
0.0000 1.9928 2.8508 Y
1.7258 0.9964 8.5524 Y
0.0000 0.0000 0.0000 U
0.0000 0.0000 5.7016 U
0.0000 1.9928 7.0030 N
0.0000 1.9928 10.1018 N
1.7258 0.9964 1.3014 N
1.7258 0.9964 4.4002 N
```

[15]
The following is a DFT calculation (PBE) of a relaxed structure of YUN2.

Properties
SG: No. 160
E_form (uncorrected): -1250.1 meV/atom
total magnetic moment: 1.15 μB per formula unit

```
YUN2
1.0
3.4075 0.0000 0.0000
-1.7038 2.9510 0.0000
0.0000 0.0000 17.7924
Y U N
3 3 6
Cartesian
0.0000 0.0000 0.0000 Y
0.0000 1.9673 11.8616 Y
1.7038 0.9837 5.9308 Y
0.0000 0.0000 3.1456 U
0.0000 1.9673 15.0072 U
1.7038 0.9837 9.0764 U
0.0000 0.0000 10.4430 N
0.0000 0.0000 13.6376 N
0.0000 1.9673 4.5122 N
0.0000 1.9673 7.7068 N
1.7038 0.9837 1.7761 N
1.7038 0.9837 16.3737 N
```

[16]
The following is a DFT calculation (PBE) of a relaxed structure of Y5U3N8.

Properties
SG: No. 166
E_form (uncorrected): -1552.2 meV/atom
total magnetic moment: 3.70 μB per formula unit

```
Y5U3N8
1.0
3.4523 1.9932 5.6696
-3.4523 1.9932 5.6696
0.0000 -3.9864 5.6696
Y U N
5 3 8
Cartesian
0.0000 0.0000 0.0000 Y
-1.7262 -0.9966 5.6696 Y
-1.7262 0.9966 11.3392 Y
0.0000 1.9932 5.6696 Y
0.0000 0.0000 8.5044 Y
-3.4523 0.0000 8.5044 U
-1.7262 0.9966 2.8348 U
1.7262 0.9966 2.8348 U
-1.7820 -1.0288 9.8333 N
0.0000 0.0000 4.1824 N
0.0000 -2.0577 7.1755 N
-1.7820 1.0288 7.1755 N
1.7820 -1.0288 9.8333 N
0.0000 2.0577 9.8333 N
0.0000 0.0000 12.8264 N
1.7820 1.0288 7.1755 N
```

[17]
The following is a DFT calculation (PBE) of a relaxed structure of Y4UN5.

Properties
SG: No. 87
E_form (uncorrected): -1645.3 meV/atom
total magnetic moment: 1.18 μB per formula unit

```
Y4UN5
1.0
-3.8663 3.8663 2.4563
3.8663 -3.8663 2.4563
3.8663 3.8663 -2.4563
Y U N
4 1 5
Cartesian
5.4053 0.7668 0.0000 Y
0.7668 2.3274 0.0000 Y
3.0996 1.5390 2.4563 Y
-1.5390 3.0996 2.4563 Y
0.0000 0.0000 2.4563 U
0.0000 0.0000 0.0000 N
3.1536 1.6839 0.0000 N
2.1825 -0.7128 2.4563 N
1.6839 4.5791 0.0000 N
0.7128 2.1825 2.4563 N
```